1.
Material: MnP2Au
Method: DFT, PBE
State: relaxed

The energy above the most stable polymorph in this dataset comes out at 1.856 eV/f.u. Its space group is P4/mmm.

Cell lengths 4.2893, 4.2943, 3.3282 Å; angles 90.00, 90.00, 90.00 degrees
With the nearest neighbours (Å) after each atom.
Sites, in units of the cell vectors:
Mn  0.0000  0.5000  0.5000  8 P 2.71-2.72, 4 Au 3.03
P  0.5000  0.5000  0.0000  4 Mn 2.71, 4 Au 2.72, 4 P 3.03
P  0.0000  0.0000  0.0000  4 Au 2.71, 4 Mn 2.72, 4 P 3.03
Au  0.5000  0.0000  0.5000  8 P 2.71-2.72, 4 Mn 3.03



2.
Material: MnPAu2
Method: DFT, PBE
State: relaxed

Its space group is Imm2.

Cell lengths 5.1694, 5.1694, 5.1694 Å; angles 142.04, 128.04, 66.13 degrees
With the nearest neighbours (Å) after each atom.
Sites, in units of the cell vectors:
Au  0.0229  0.0229  0.0000  2 P 2.73, 4 Mn 2.86, 4 Au 2.93-2.99
Au  0.7376  0.2376  0.5000  4 P 2.84, 4 Mn 2.88-3.02, 4 Au 2.93-2.99
P  0.2717  0.7717  0.5000  2 Mn 2.39
Mn  0.4679  0.4679  0.0000  2 P 2.39



3.
Material: MnPAu
Method: DFT, PBE
State: relaxed

The energy above the most stable polymorph in this dataset comes out at 0.000 eV/f.u. Its space group is I4mm.

Cell lengths 5.2478, 5.2478, 3.0776 Å; angles 72.95, 72.95, 34.10 degrees
With the nearest neighbours (Å) after each atom.
Sites, in units of the cell vectors:
Mn  0.2988  0.2988  0.7012  4 P 2.35
Au  0.9955  0.9955  0.0045  5 P 2.77-2.96, 5 Mn 2.87-2.90, 4 Au 3.08
P  0.7056  0.7056  0.2944  4 Mn 2.35



4.
Material: Mn2PAu
Method: DFT, PBE
State: relaxed

Its space group is Imm2.

Cell lengths 6.9287, 6.9287, 6.9287 Å; angles 153.91, 156.57, 35.35 degrees
With the nearest neighbours (Å) after each atom.
Sites, in units of the cell vectors:
Mn  0.9825  0.9825  0.0000  4 P 2.24
Mn  0.6700  0.1700  0.5000  2 P 2.31
P  0.5411  0.5411  0.0000  6 Mn 2.24-2.31
Au  0.3063  0.8063  0.5000  6 Mn 2.72-2.77, 2 Au 2.81



Number 1: DFT formation energy 0.25 eV/atom. Number 2: DFT formation energy 0.16 eV/atom. Number 3: DFT formation energy 0.01 eV/atom. Number 4: DFT formation energy -0.08 eV/atom.